This record from Alexandria describes crystalline Mg2VTcF at its relaxed geometry. The functional is PBE+U.

```
data_Mg2VTcF
_cell_length_a 5.2107
_cell_length_b 5.2107
_cell_length_c 3.9482
_cell_angle_alpha 90.00
_cell_angle_beta 90.00
_cell_angle_gamma 90.00
_space_group_name_H-M_alt 'P 4/m m m'
_space_group_IT_number 123
_space_group_name_Hall '-P 4 2'
loop_
_atom_site_label
_atom_site_type_symbol
_atom_site_fract_x
_atom_site_fract_y
_atom_site_fract_z
Mg1 Mg 0.0000 0.5000 0.0000
V1 V 0.0000 0.0000 0.5000
Tc1 Tc 0.5000 0.5000 0.0000
F1 F 0.5000 0.5000 0.5000
```

Summary:
VASP energy, eV/atom: -3.846